Record 1
Here is a relaxed structure of MnRhN2 from Alexandria. Energies are from PBE-GGA.

Cell lengths 5.0966, 5.9912, 5.4792 Å; angles 90.00, 90.00, 90.00 degrees
Space group Pna2_1 (No. 33)
Symmetry-distinct sites (fractional):
Mn: 0.0675 0.1122 0.0000 [4 per cell]
Rh: 0.1206 0.6589 0.0738 [4 per cell]
N: 0.0737 0.1269 0.3385 [4 per cell]
N: 0.0830 0.6173 0.4470 [4 per cell]

* formation energy from raw total energies: 0.14 eV per formula unit
* V: 10.5 A^3/atom
* spin magnetization: 0.0 μB/f.u.
* relative energy among the computed polymorphs: 20 meV/atom
* crystal system: orthorhombic

---

Record 2
Here is a relaxed structure of MnRu2RhN from Alexandria. Energies are from PBE-GGA.

Cell lengths 3.9909, 3.9909, 3.9581 Å; angles 90.00, 90.00, 90.00 degrees
Space group P4/mmm (No. 123)
Symmetry-distinct sites (fractional):
Mn: 0.0000 0.0000 0.0000 [1 per cell]
Ru: 0.0000 0.5000 0.5000 [2 per cell]
Rh: 0.5000 0.5000 0.0000 [1 per cell]
N: 0.0000 0.0000 0.5000 [1 per cell]

* formation energy from raw total energies: 0.54 eV per formula unit
* V: 12.6 A^3/atom
* spin magnetization: 3.0 μB/f.u.
* crystal system: tetragonal

---

Record 3
Here is a relaxed structure of MnRhS2N from Alexandria. Energies are from PBE-GGA.

Cell lengths 4.5944, 4.5944, 3.3968 Å; angles 90.00, 90.00, 90.00 degrees
Space group P4/mmm (No. 123)
Symmetry-distinct sites (fractional):
Mn: 0.0000 0.0000 0.0000 [1 per cell]
Rh: 0.5000 0.5000 0.5000 [1 per cell]
S: 0.0000 0.5000 0.0000 [2 per cell]
N: 0.0000 0.0000 0.5000 [1 per cell]

* formation energy from raw total energies: 2.24 eV per formula unit
* V: 14.3 A^3/atom
* spin magnetization: 1.3 μB/f.u.
* relative energy among the computed polymorphs: 0 meV/atom
* crystal system: tetragonal

---

Question: Number 2 is which compound?
Answer: MnRu2RhN